DFT (GGA-PBE) results for an optimized crystal structure of Li10BiAu6.

```
Li10BiAu6
1.0
-2.205 4.518 2.274
-5.508 0.103 -5.545
-1.215 -3.936 6.643
Au Li Bi
6 10 1
direct
0.304 0.000 0.373
0.304 0.627 0.627
0.304 0.373 0.000
0.696 0.627 0.000
0.696 0.000 0.627
0.696 0.373 0.373
0.180 0.000 0.700
0.500 0.667 0.333
0.180 0.300 0.300
0.500 0.333 0.667
0.820 0.000 0.300
0.000 0.667 0.333
0.000 0.333 0.667
0.820 0.700 0.700
0.820 0.300 0.000
0.180 0.700 0.000
0.500 0.000 0.000
```

## Properties
Formation enthalpy at 0 K in eV per atom: -0.46
Volume in Å³/atom: 17.17

DFT (GGA-PBE) results for an optimized crystal structure of Li8BiAu6.

```
Li8BiAu6
1.0
7.958 0.000 0.000
3.979 6.892 0.000
3.979 2.297 5.361
Li Au Bi
8 6 1
direct
0.121 0.430 0.655
0.206 0.879 0.345
0.794 0.121 0.655
0.879 0.570 0.345
0.666 0.666 0.002
0.570 0.206 0.345
0.334 0.334 0.998
0.430 0.794 0.655
0.415 0.053 0.835
0.053 0.697 0.835
0.947 0.303 0.165
0.585 0.947 0.165
0.303 0.585 0.165
0.697 0.415 0.835
0.000 0.000 0.000
```

## Properties
Formation enthalpy at 0 K in eV per atom: -0.38
Volume in Å³/atom: 19.60

DFT (GGA-PBE) results for an optimized crystal structure of Li3Bi2Au2.

```
Li3Bi2Au2
1.0
-2.873 2.893 1.556
-1.809 -5.143 0.100
4.471 1.415 5.624
Li Bi Au
3 2 2
direct
0.500 0.000 0.000
0.367 0.733 0.567
0.633 0.267 0.433
0.117 0.233 0.745
0.883 0.767 0.255
0.840 0.680 0.805
0.160 0.320 0.195
```

## Properties
Energy above the most stable polymorph in this dataset in eV per atom: 0.0450
Formation enthalpy at 0 K in eV per atom: -0.36
Volume in Å³/atom: 20.86

DFT (GGA-PBE) results for an optimized crystal structure of Li5BiAu4.

```
Li5BiAu4
1.0
-2.457 -0.123 -2.055
-1.023 -2.703 1.386
-9.276 8.924 10.556
Li Au Bi
5 4 1
direct
0.500 0.500 0.317
0.500 0.500 0.866
0.500 0.500 0.134
0.500 0.500 0.683
0.500 0.500 0.500
0.000 0.000 0.409
0.000 0.000 0.226
0.000 0.000 0.774
0.000 0.000 0.591
0.000 0.000 0.000
```

## Properties
Formation enthalpy at 0 K in eV per atom: -0.50
Volume in Å³/atom: 17.10

DFT (GGA-PBE) results for an optimized crystal structure of Li3BiAu2.

```
Li3BiAu2
1.0
4.890 0.000 0.000
-2.445 9.629 0.769
0.000 -3.908 4.379
Au Li Bi
4 6 2
direct
0.790 0.579 0.329
0.489 0.978 0.229
0.511 0.022 0.771
0.210 0.421 0.671
0.350 0.700 0.668
0.349 0.698 0.230
0.651 0.302 0.770
0.957 0.915 0.664
0.043 0.085 0.336
0.650 0.300 0.332
0.160 0.319 0.070
0.840 0.681 0.930
```

## Properties
Energy above the most stable polymorph in this dataset in eV per atom: 0.0100
Formation enthalpy at 0 K in eV per atom: -0.43
Volume in Å³/atom: 18.41

DFT (GGA-PBE) results for an optimized crystal structure of Li6BiAu6.

```
Li6BiAu6
1.0
5.524 0.000 0.000
-2.761 4.784 0.000
0.000 0.000 9.262
Li Au Bi
6 6 1
direct
0.000 0.000 0.319
0.667 0.333 0.500
0.333 0.667 0.500
0.000 0.000 0.681
0.667 0.333 0.000
0.333 0.667 0.000
0.500 0.500 0.742
0.500 0.500 0.258
0.500 0.000 0.742
0.000 0.500 0.258
0.000 0.500 0.742
0.500 0.000 0.258
0.000 0.000 0.000
```

## Properties
Formation enthalpy at 0 K in eV per atom: -0.45
Volume in Å³/atom: 18.83

DFT (GGA-PBE) results for an optimized crystal structure of Li4Bi3Au.

```
Li4Bi3Au
1.0
5.012 0.000 0.000
0.000 6.882 0.000
0.000 0.000 9.815
Bi Li Au
6 8 2
direct
0.000 0.000 0.500
0.000 0.000 0.000
0.500 0.000 0.250
0.500 0.000 0.750
0.500 0.500 0.250
0.500 0.500 0.750
0.500 0.725 0.000
0.000 0.724 0.250
0.000 0.724 0.750
0.000 0.276 0.750
0.500 0.275 0.500
0.000 0.276 0.250
0.500 0.275 0.000
0.500 0.725 0.500
0.000 0.500 0.000
0.000 0.500 0.500
```

## Properties
Formation enthalpy at 0 K in eV per atom: -0.40
Volume in Å³/atom: 21.16

DFT (GGA-PBE) results for an optimized crystal structure of Li2BiAu6.

```
Li2BiAu6
1.0
2.961 0.077 0.073
1.673 8.061 2.060
1.673 2.411 7.963
Bi Au Li
1 6 2
direct
0.000 0.000 0.000
0.664 0.000 0.645
0.336 0.000 0.355
0.500 0.335 0.665
0.500 0.665 0.335
0.336 0.355 0.000
0.664 0.645 0.000
0.178 0.351 0.351
0.822 0.649 0.649
```

## Properties
Energy above the most stable polymorph in this dataset in eV per atom: 0.0275
Formation enthalpy at 0 K in eV per atom: -0.20
Volume in Å³/atom: 19.32